[1]
Below is a geometry-optimized NbCrSb2Os structure, with properties calculated at the PBE level.

Cell lengths 5.256, 5.256, 4.500 Å; angles 90.00, 90.00, 90.00 degrees
Element x y z (fractional)
Nb 0.000 0.000 0.000
Cr 0.000 0.000 0.500
Sb 0.000 0.500 0.000
Sb 0.500 0.000 0.000
Os 0.500 0.500 0.500

Computed properties:
V (Å³ per atom): 24.86
Formation energy without anion corrections (meV/atom): 1751
Density of states at the Fermi level (states/eV/cell): 5.97

=====

[2]
Below is a geometry-optimized BaCuAs structure, with properties calculated at the PBE level.

Cell lengths 8.204, 8.204, 8.204 Å; angles 148.15, 148.15, 45.66 degrees
Element x y z (fractional)
Ba 0.000 0.000 0.000
Ba 0.750 0.250 0.500
Cu 0.335 0.835 0.500
Cu 0.585 0.585 0.000
As 0.168 0.668 0.500
As 0.418 0.418 0.000

Computed properties:
V (Å³ per atom): 25.54
VASP energy (eV per cell): -25.63
Density of states at the Fermi level (states/eV/cell): 0.02

=====

[3]
Below is a geometry-optimized RbMgHgF6 structure, with properties calculated at the PBE level.

Cell lengths 7.625, 7.625, 7.625 Å; angles 121.06, 116.67, 92.02 degrees
Element x y z (fractional)
Rb 0.338 0.088 0.250
Rb 0.662 0.912 0.750
Mg 0.000 0.000 0.500
Mg 0.000 0.500 0.000
Hg 0.000 0.500 0.500
Hg 0.500 0.500 0.000
F 0.040 0.790 0.250
F 0.048 0.389 0.203
F 0.048 0.845 0.659
F 0.314 0.155 0.703
F 0.314 0.611 0.159
F 0.358 0.608 0.750
F 0.642 0.392 0.250
F 0.686 0.389 0.841
F 0.686 0.845 0.297
F 0.952 0.155 0.341
F 0.952 0.611 0.797
F 0.960 0.210 0.750

Computed properties:
V (Å³ per atom): 17.67
Formation energy without anion corrections (meV/atom): -2306
Density of states at the Fermi level (states/eV/cell): 6.50